1.
Mg3FeSe: relaxed, GGA-PBEsol.

Cell and atoms, written as CIF:
```
data_Mg3FeSe
_cell_length_a 4.875
_cell_length_b 4.875
_cell_length_c 4.875
_cell_angle_alpha 90.00
_cell_angle_beta 90.00
_cell_angle_gamma 90.00
_symmetry_space_group_name_H-M 'P 1'
_symmetry_Int_Tables_number 1
_symmetry_space_group_name_Hall 'P 1'
loop_
_atom_site_label
_atom_site_type_symbol
_atom_site_fract_x
_atom_site_fract_y
_atom_site_fract_z
Mg1 Mg 0.000 0.000 0.500
Mg2 Mg 0.000 0.500 0.000
Mg3 Mg 0.500 0.000 0.000
Fe1 Fe 0.000 0.000 0.000
Se1 Se 0.500 0.500 0.500
```

Values from the calculation:
- Calculated volume: 23.2 Å³ per atom
- Symmetry: Pm-3m (221)
- DOS at the Fermi energy: 5.805 states/eV/f.u.
- Formation energy without anion corrections: 0.53 eV per atom

***

2.
Li2ZrI: relaxed, GGA-PBEsol.

Cell and atoms, written as CIF:
```
data_Li2ZrI
_cell_length_a 4.813
_cell_length_b 4.813
_cell_length_c 4.813
_cell_angle_alpha 60.00
_cell_angle_beta 60.00
_cell_angle_gamma 60.00
_symmetry_space_group_name_H-M 'P 1'
_symmetry_Int_Tables_number 1
_symmetry_space_group_name_Hall 'P 1'
loop_
_atom_site_label
_atom_site_type_symbol
_atom_site_fract_x
_atom_site_fract_y
_atom_site_fract_z
Li1 Li 0.250 0.250 0.250
Li2 Li 0.750 0.750 0.750
Zr1 Zr 0.000 0.000 0.000
I1 I 0.500 0.500 0.500
```

Values from the calculation:
- Calculated volume: 19.7 Å³ per atom
- Symmetry: Fm-3m (225)
- DOS at the Fermi energy: 3.949 states/eV/f.u.
- Formation energy without anion corrections: 0.45 eV per atom

***

3.
TaAl2Os: relaxed, GGA-PBEsol.

Cell and atoms, written as CIF:
```
data_TaAl2Os
_cell_length_a 2.888
_cell_length_b 3.851
_cell_length_c 5.431
_cell_angle_alpha 90.00
_cell_angle_beta 90.00
_cell_angle_gamma 90.00
_symmetry_space_group_name_H-M 'P 1'
_symmetry_Int_Tables_number 1
_symmetry_space_group_name_Hall 'P 1'
loop_
_atom_site_label
_atom_site_type_symbol
_atom_site_fract_x
_atom_site_fract_y
_atom_site_fract_z
Ta1 Ta 0.000 0.000 0.000
Al1 Al 0.500 0.500 0.266
Al2 Al 0.500 0.500 0.734
Os1 Os 0.000 0.000 0.500
```

Values from the calculation:
- Formation energy from the elements: -0.129 eV per atom
- Calculated volume: 15.1 Å³ per atom
- Symmetry: Pmmm (47)
- DOS at the Fermi energy: 2.481 states/eV/f.u.

***

- Among the records above, which one has the highest DOS at the Fermi energy?
  Mg3FeSe